Here is a relaxed RbBe3F crystal from Alexandria via LeMat-Bulk. Energies are from PBE.

Cell lengths 4.7084, 4.7084, 4.7084 Å; angles 90.00, 90.00, 90.00 degrees
Closest atoms and distances in Å follow each position.
Positions (direct):
Rb1 0.5000 0.5000 0.5000  12 Be 3.33
F1 0.0000 0.0000 0.0000  6 Be 2.35
Be1 0.5000 0.0000 0.0000  2 F 2.35
Be2 0.0000 0.5000 0.0000  2 F 2.35
Be3 0.0000 0.0000 0.5000  2 F 2.35

## Properties
D(E_F)   2.79 states/eV/cell
Total moment   0.00 μB per formula unit
Energy   -1.807 eV/atom